First-principles (PBE) data for K2SiP after structural relaxation, as listed in the Alexandria database.

Cell lengths 11.0844, 11.0844, 11.0844 Å; angles 17.15, 17.15, 17.15 degrees
Last column: magnetic moment on the atom in μB.
Fractional coordinates of all 4 atoms:
K: 0.5058 0.5058 0.5058  0.01
K: 0.9942 0.9942 0.9942  0.01
Si: 0.7500 0.7500 0.7500  0.09
P: 0.2500 0.2500 0.2500  -0.08

Summary:
E: -10.832 eV for the cell shown
total moment: 0.2 μB/f.u.
E_form (uncorrected): 549 meV/atom
space group: No. 166

***

First-principles (PBE) data for K2SiP after structural relaxation, as listed in the Alexandria database.

Cell lengths 6.8482, 6.0845, 2.9318 Å; angles 90.00, 64.65, 117.36 degrees
Fractional coordinates of all 4 atoms:
P: 0.0000 0.5000 0.5000
K: 0.5000 0.0000 0.5000
K: 0.0000 0.0000 0.0000
Si: 0.5000 0.5000 0.0000

Summary:
E: -11.603 eV for the cell shown
total moment: 0.0 μB/f.u.
E_form (uncorrected): 356 meV/atom
space group: No. 65

***

First-principles (PBE) data for KSiP2 after structural relaxation, as listed in the Alexandria database.

Cell lengths 8.2069, 8.2069, 8.2069 Å; angles 24.22, 24.22, 24.22 degrees
Fractional coordinates of all 4 atoms:
K: 0.7500 0.7500 0.7500
Si: 0.2500 0.2500 0.2500
P: 0.9748 0.9748 0.9748
P: 0.5252 0.5252 0.5252

Summary:
E: -17.549 eV for the cell shown
total moment: 0.0 μB/f.u.
E_form (uncorrected): -52 meV/atom
space group: No. 166

***

First-principles (PBE) data for KSiP2 after structural relaxation, as listed in the Alexandria database.

Cell lengths 5.3772, 5.3772, 5.3772 Å; angles 135.29, 105.07, 91.69 degrees
Fractional coordinates of all 4 atoms:
Si: 0.2500 0.7500 0.5000
P: 0.0975 0.0975 0.0000
K: 0.7500 0.2500 0.5000
P: 0.4025 0.4025 0.0000

Summary:
E: -16.626 eV for the cell shown
total moment: 0.0 μB/f.u.
E_form (uncorrected): 178 meV/atom
space group: No. 71